A geometry-optimized TlCuIr2Pb structure. Source: Alexandria via LeMat-Bulk, functional PBE-GGA.

Summary:
The space-group type is P4/mmm, No. 123. The value obtained for the formation energy is 1876 meV per atom. Its total energy is -3.7023 eV/atom. The calculation puts the magnetization at 0.000 μB/cell.

Cell lengths 5.0384, 5.0384, 5.6915 Å; angles 90.00, 90.00, 90.00 degrees
Element x y z (fractional)
Tl 0.0000 0.0000 0.0000
Cu 0.5000 0.5000 0.0000
Ir 0.0000 0.5000 0.5000
Ir 0.5000 0.0000 0.5000
Pb 0.0000 0.0000 0.5000